An optimized crystal structure of As2OsO8, computed with PBE.

```
As2OsO8
1.0
6.4434 -2.7454 0.0000
6.4434 2.7454 0.0000
-0.0720 0.0000 4.9219
As Os O
2 1 8
Direct
0.1540 0.1540 0.0914
0.8460 0.8460 0.9086
0.0000 0.0000 0.5000
0.1150 0.1150 0.7374
0.1503 0.6997 0.7348
0.2811 0.2811 0.1271
0.3003 0.8497 0.2652
0.6997 0.1503 0.7348
0.7189 0.7189 0.8729
0.8497 0.3003 0.2652
0.8850 0.8850 0.2626
```

Calculated values
* ΔE_f (raw): -0.8321 eV per atom
* space group: No. 12

An optimized crystal structure of LiErBiRu, computed with PBE.

```
LiErBiRu
1.0
0.0000 3.3766 3.3766
3.3766 0.0000 3.3766
3.3766 3.3766 0.0000
Li Er Bi Ru
1 1 1 1
Direct
0.0000 0.0000 0.0000
0.2500 0.2500 0.2500
0.7500 0.7500 0.7500
0.5000 0.5000 0.5000
```

Calculated values
* formation energy from the elements: -0.325 eV/atom
* DOS at the Fermi energy: 4.175 states/eV/cell
* space group: No. 216

An optimized crystal structure of Er4AlPb2, computed with PBE.

```
Er4AlPb2
1.0
5.5697 0.0000 0.0000
0.0000 6.4793 0.0000
-1.8277 0.0000 10.5814
Er Al Pb
8 2 4
Direct
0.1372 0.2500 0.1167
0.2377 0.7500 0.4396
0.3208 0.0091 0.7341
0.3208 0.4909 0.7341
0.6792 0.5091 0.2659
0.6792 0.9909 0.2659
0.7623 0.2500 0.5604
0.8628 0.7500 0.8833
0.0944 0.7500 0.1727
0.9056 0.2500 0.8273
0.2196 0.2500 0.4238
0.4071 0.7500 0.0027
0.5929 0.2500 0.9973
0.7804 0.7500 0.5762
```

Calculated values
* formation energy from the elements: -0.289 eV/atom
* DOS at the Fermi energy: 11.537 states/eV/cell
* space group: No. 11

An optimized crystal structure of TlP, computed with PBE.

```
TlP
1.0
3.5650 0.0000 0.0000
0.0000 3.5650 0.0000
0.0000 0.0000 3.5650
Tl P
1 1
Direct
0.0000 0.0000 0.0000
0.5000 0.5000 0.5000
```

Calculated values
* formation energy from the elements: 0.615 eV/atom
* DOS at the Fermi energy: 1.658 states/eV/cell
* space group: No. 221

An optimized crystal structure of SrCa2Rh, computed with PBE.

```
SrCa2Rh
1.0
2.1322 -6.2998 0.0000
2.1322 6.2998 0.0000
0.0000 0.0000 9.4944
Sr Ca Rh
2 4 2
Direct
0.0730 0.9270 0.7500
0.9270 0.0730 0.2500
0.3448 0.6552 0.5684
0.3448 0.6552 0.9316
0.6552 0.3448 0.0684
0.6552 0.3448 0.4316
0.2457 0.7543 0.2500
0.7543 0.2457 0.7500
```

Calculated values
* formation energy from the elements: -0.287 eV/atom
* DOS at the Fermi energy: 4.592 states/eV/cell
* space group: No. 63

An optimized crystal structure of In2AgBiCl6, computed with PBE.

```
In2AgBiCl6
1.0
7.3072 0.0000 0.0000
0.0000 7.7624 0.0000
-7.1749 0.0000 10.5545
In Ag Bi Cl
4 2 2 12
Direct
0.2249 0.0748 0.2494
0.2249 0.4252 0.7494
0.7751 0.5748 0.2506
0.7751 0.9252 0.7506
0.0000 0.0000 0.5000
0.0000 0.5000 0.0000
0.5000 0.0000 0.0000
0.5000 0.5000 0.5000
0.1503 0.1953 0.9548
0.1503 0.3047 0.4548
0.2638 0.7031 0.9555
0.2638 0.7969 0.4555
0.3418 0.0224 0.7483
0.3418 0.4776 0.2483
0.6582 0.5224 0.7517
0.6582 0.9776 0.2517
0.7362 0.2031 0.5445
0.7362 0.2969 0.0445
0.8497 0.6953 0.5452
0.8497 0.8047 0.0452
```

Calculated values
* ΔE_f (raw): -0.8228 eV per atom
* DOS at the Fermi energy: 0.000 states/eV/cell
* space group: No. 14

An optimized crystal structure of La4TeOs, computed with PBE.

```
La4TeOs
1.0
4.7348 -7.5512 0.0000
4.7348 7.5512 0.0000
-3.9310 0.0000 5.9322
La Te Os
8 2 2
Direct
0.0668 0.6458 0.8684
0.1731 0.2638 0.7191
0.2638 0.1731 0.2191
0.3542 0.9332 0.6316
0.6458 0.0668 0.3684
0.7362 0.8269 0.7809
0.8269 0.7362 0.2809
0.9332 0.3542 0.1316
0.3861 0.6139 0.2500
0.6139 0.3861 0.7500
0.0822 0.9178 0.7500
0.9178 0.0822 0.2500
```

Calculated values
* ΔE_f (raw): -0.5322 eV per atom
* DOS at the Fermi energy: 13.064 states/eV/cell
* space group: No. 15

An optimized crystal structure of CaRh2W, computed with PBE.

```
CaRh2W
1.0
3.0187 0.0000 0.0000
0.0000 3.0187 0.0000
0.0000 0.0000 7.6877
Ca Rh W
1 2 1
Direct
0.0000 0.0000 0.0000
0.5000 0.5000 0.2897
0.5000 0.5000 0.7103
0.0000 0.0000 0.5000
```

Calculated values
* formation energy from the elements: -0.150 eV/atom
* DOS at the Fermi energy: 4.244 states/eV/cell
* space group: No. 123